## FeH4S2NO8 (SCAN)

Data for FeH4S2NO8 at its PBEsol-relaxed geometry.

total moment: 1.0 μB per formula unit
E: -391.48 eV for the cell shown

Lattice parameters (Å, degrees): 4.6743 4.6743 24.3884 90.00 90.00 120.00
Last column: nearest neighbours and their distance in Å.
Space group R3 (No. 146, hexagonal axes)
One atom of each set of equivalent atoms:
1 Fe 0.0000 0.0000 0.0000  6 O 1.90-1.91
2 H 0.0000 0.0000 0.5454  1 N 1.03
3 H 0.0898 0.5445 0.1559  1 N 1.04
4 S 0.0000 0.0000 0.2674  4 O 1.45-1.50
5 S 0.0000 0.0000 0.7321  4 O 1.48-1.49
6 N 0.0000 0.0000 0.5031  4 H 1.03-1.04
7 O 0.0000 0.0000 0.2080  1 S 1.45
8 O 0.0000 0.0000 0.7927  1 S 1.48
9 O 0.0159 0.6357 0.3798  1 S 1.49
10 O 0.0453 0.3501 0.9545  1 S 1.50

---

## FeH20S2N2O14 (SCAN)

Data for FeH20S2N2O14 at its PBEsol-relaxed geometry.

total moment: 4.0 μB per formula unit
E: -510.19 eV for the cell shown

Lattice parameters (Å, degrees): 6.2773 12.2718 9.0709 90.00 106.84 90.00
Last column: nearest neighbours and their distance in Å.
Space group P2_1/c (No. 14)
One atom of each set of equivalent atoms:
1 Fe 0.0000 0.0000 0.0000  6 O 2.08-2.14
2 H 0.0106 0.1937 0.1442  1 O 1.00
3 H 0.0642 0.0994 0.2721  1 O 1.00
4 H 0.0991 0.6188 0.7615  1 O 0.99
5 H 0.1878 0.6715 0.0661  1 N 1.04
6 H 0.3262 0.1496 0.0221  1 O 1.00
7 H 0.3293 0.5859 0.7265  1 O 1.00
8 H 0.3396 0.0600 0.8977  1 O 1.00
9 H 0.3747 0.5796 0.1690  1 N 1.05
10 H 0.3871 0.7119 0.2297  1 N 1.04
11 H 0.4539 0.6816 0.0652  1 N 1.05
12 S 0.2641 0.1290 0.5864  4 O 1.47-1.50
13 N 0.3515 0.6614 0.1340  4 H 1.04-1.05
14 O 0.0279 0.6175 0.3354  2 H 1.00
15 O 0.0558 0.1722 0.6130  1 S 1.49
16 O 0.1718 0.6089 0.6788  2 H 0.99-1.00
17 O 0.2141 0.0636 0.4449  1 S 1.47, 1 H 1.64
18 O 0.2993 0.0710 0.9952  2 H 1.00
19 O 0.3867 0.0598 0.7202  1 S 1.50
20 O 0.4124 0.2228 0.5763  1 S 1.50

---

## Na3FeH (SCAN)

Data for Na3FeH at its PBEsol-relaxed geometry.

total moment: 3.6 μB per formula unit
E: -32.04 eV for the cell shown
DOS(E_F): 1.93 states/eV/f.u.

Lattice parameters (Å, degrees): 4.6632 4.6632 4.6632 90.00 90.00 90.00
Last column: nearest neighbours and their distance in Å.
Space group Pm-3m (No. 221)
One atom of each set of equivalent atoms:
1 Na 0.0000 0.0000 0.5000  2 H 2.33
2 Fe 0.5000 0.5000 0.5000  12 Na 3.30
3 H 0.0000 0.0000 0.0000  6 Na 2.33

---

## NaFe3H6S2O14 (SCAN)

Data for NaFe3H6S2O14 at its PBEsol-relaxed geometry.

total moment: 15.0 μB per formula unit
E: -673.54 eV for the cell shown
DOS(E_F): 1.60 states/eV/f.u.

Lattice parameters (Å, degrees): 7.1651 7.1651 16.6291 90.00 90.00 120.00
Last column: nearest neighbours and their distance in Å.
Space group R-3m (No. 166, hexagonal axes)
One atom of each set of equivalent atoms:
1 Na 0.0000 0.0000 0.0000  12 O 2.74-2.84
2 Fe 0.0000 0.5000 0.5000  6 O 1.95-2.09
3 H 0.0695 0.5348 0.2231  1 O 1.00
4 S 0.0000 0.0000 0.3144  4 O 1.49
5 O 0.0000 0.0000 0.4042  1 S 1.49
6 O 0.0780 0.5390 0.8012  1 H 1.00
7 O 0.1066 0.5533 0.3809  1 S 1.49

---

## Na2FeH4S2O10 (SCAN)

Data for Na2FeH4S2O10 at its PBEsol-relaxed geometry.

total moment: 4.0 μB per formula unit
E: -304.64 eV for the cell shown

Lattice parameters (Å, degrees): 5.7094 12.8440 5.4470 90.00 106.52 90.00
Last column: nearest neighbours and their distance in Å.
Space group P2_1/c (No. 14)
One atom of each set of equivalent atoms:
1 Na 0.0781 0.1174 0.2506  6 O 2.35-2.59
2 Fe 0.5000 0.0000 0.0000  6 O 2.04-2.16
3 H 0.1798 0.1520 0.8091  1 O 1.01
4 H 0.4155 0.2047 0.0013  1 O 1.01
5 S 0.2740 0.6182 0.9240  4 O 1.47-1.50
6 O 0.0653 0.6905 0.9024  1 S 1.49, 1 H 1.62
7 O 0.2330 0.5610 0.6742  1 S 1.50
8 O 0.2701 0.5401 0.1278  1 S 1.50
9 O 0.3183 0.1382 0.9683  2 H 1.01
10 O 0.4922 0.1741 0.5114  1 S 1.47, 1 H 1.61

---

## NaFe2H3S2O8 (SCAN)

Data for NaFe2H3S2O8 at its PBEsol-relaxed geometry.

total moment: 6.0 μB per formula unit
E: -283.27 eV for the cell shown

Lattice parameters (Å, degrees): 6.2204 7.7698 8.4168 114.11 92.51 111.92
Last column: nearest neighbours and their distance in Å.
Space group P-1 (No. 2)
One atom of each set of equivalent atoms:
1 Na 0.1787 0.2704 0.0734  5 O 2.34-2.54
2 Fe 0.0000 0.5000 0.5000  6 O 2.09-2.16
3 Fe 0.4859 0.9704 0.8343  6 O 2.05-2.24
4 Fe 0.5000 0.5000 0.5000  6 O 1.98-2.00
5 H 0.2193 0.7282 0.2726  1 O 1.00
6 H 0.4005 0.7863 0.5045  1 O 0.99
7 H 0.4833 0.7421 0.2829  1 O 1.00
8 S 0.0686 0.0660 0.3116  3 O 1.51-1.60
9 S 0.2809 0.5102 0.8401  3 O 1.54-1.55
10 O 0.0409 0.4551 0.7289  1 S 1.54, 1 H 1.71
11 O 0.1652 0.3097 0.3676  1 S 1.60
12 O 0.1680 0.9909 0.1429  1 S 1.55
13 O 0.1934 0.0197 0.7703  1 S 1.51
14 O 0.3736 0.7135 0.5802  1 H 0.99
15 O 0.3907 0.8269 0.3018  2 H 1.00
16 O 0.4114 0.7517 0.9299  1 S 1.55
17 O 0.4334 0.4425 0.7077  1 S 1.55, 1 H 1.73

---

## Nb2FeH2 (SCAN)

Data for Nb2FeH2 at its PBEsol-relaxed geometry.

total moment: 1.6 μB per formula unit
E: -184.08 eV for the cell shown
DOS(E_F): 2.13 states/eV/f.u.

Lattice parameters (Å, degrees): 2.9718 2.9718 11.6314 90.00 90.00 90.00
Last column: nearest neighbours and their distance in Å.
Space group I4/mmm (No. 139)
One atom of each set of equivalent atoms:
1 Nb 0.0000 0.0000 0.1351  4 H 2.00
2 Fe 0.0000 0.0000 0.5000  8 Nb 2.62
3 H 0.0000 0.5000 0.2500  4 Nb 2.00, 4 H 2.10

---

## NbFe2H (SCAN)

Data for NbFe2H at its PBEsol-relaxed geometry.

total moment: 1.8 μB per formula unit
E: -277.25 eV for the cell shown
DOS(E_F): 3.30 states/eV/f.u.

Lattice parameters (Å, degrees): 5.6151 5.6151 5.6151 90.00 90.00 90.00
Last column: nearest neighbours and their distance in Å.
Space group Fm-3m (No. 225)
One atom of each set of equivalent atoms:
1 Nb 0.0000 0.0000 0.0000  8 Fe 2.43
2 Fe 0.2500 0.2500 0.2500  4 H 2.43, 4 Nb 2.43
3 H 0.0000 0.0000 0.5000  8 Fe 2.43